[1]
# SrNiAsPb2

An optimized crystal structure of SrNiAsPb2 (GGA-PBEsol, Alexandria).

Calculated values
- DFT formation energy (eV/f.u.) = 3.26
- Fermi-level density of states (states/eV/f.u.) = 9.28
- energy (eV/atom) = -3.5682

Lattice parameters (Å, degrees): 5.4627 5.4627 5.6700 90.00 90.00 90.00
Space group P4/mmm (No. 123)
Unique sites:
Sr 0.0000 0.0000 0.0000
Ni 0.5000 0.5000 0.0000
As 0.0000 0.0000 0.5000
Pb 0.0000 0.5000 0.5000

---

[2]
# BePt3

An optimized crystal structure of BePt3 (GGA-PBEsol, Alexandria).

Calculated values
- DFT formation energy (eV/f.u.) = -1.33
- Fermi-level density of states (states/eV/f.u.) = 3.38
- energy (eV/atom) = -6.5550

Lattice parameters (Å, degrees): 2.7510 4.2829 9.0597 90.00 90.00 90.00
Space group Immm (No. 71)
Unique sites:
Be 0.0000 0.0000 0.0000
Pt 0.0000 0.0000 0.5000
Pt 0.0000 0.5000 0.2974

---

[3]
# Be2GaSe

An optimized crystal structure of Be2GaSe (GGA-PBEsol, Alexandria).

Calculated values
- ΔE_f (raw) (eV/atom) = 0.15
- Fermi-level density of states (states/eV/f.u.) = 1.53
- energy (eV/atom) = -3.6493

Lattice parameters (Å, degrees): 5.5946 5.5946 8.8451 90.00 90.00 90.00
Space group I-42d (No. 122)
Unique sites:
Be 0.2225 0.2500 0.1250
Ga 0.0000 0.0000 0.5000
Se 0.0000 0.0000 0.0000

---

[4]
# ZnCo2O

An optimized crystal structure of ZnCo2O (GGA-PBEsol, Alexandria).

Calculated values
- ΔE_f (raw) (eV/atom) = 0.40
- Fermi-level density of states (states/eV/f.u.) = 5.70
- energy (eV/atom) = -5.1805

Lattice parameters (Å, degrees): 5.5266 5.5266 5.5266 90.00 90.00 90.00
Space group Fm-3m (No. 225)
Unique sites:
Zn 0.0000 0.0000 0.0000
Co 0.2500 0.2500 0.2500
O 0.0000 0.0000 0.5000